The following is a DFT calculation (PBE) of an optimized crystal structure of LiCoBi2.

The structure in POSCAR format:
```
LiCoBi2
1.0
0.000 3.435 3.435
3.435 0.000 3.435
3.435 3.435 0.000
Li Co Bi
1 1 2
Direct
0.000 0.000 0.000 Li
0.500 0.500 0.500 Co
0.250 0.250 0.250 Bi
0.750 0.750 0.750 Bi
```

## Properties
Volume   81.0 Å³/cell
ΔE_f   0.081 eV/atom
Energy   -4.115 eV per atom
Offset from the most stable computed form   0.0 meV/atom